Version P
Compound: PrEr2In2
Source: Alexandria
Functional: GGA-PBE
Structure: optimized geometry

abc: 3.772 5.435 14.077
angles: 90.00 97.70 90.00
Sites, in units of the cell vectors:
Pr1 0.852 0.750 0.705
Pr2 0.148 0.250 0.295
Er1 0.049 0.750 0.097
Er2 0.951 0.250 0.903
Er3 0.236 0.750 0.473
Er4 0.764 0.250 0.527
In1 0.643 0.750 0.287
In2 0.357 0.250 0.713
In3 0.454 0.750 0.907
In4 0.546 0.250 0.093

Properties
- Spin magnetization: 0.0 Bohr magnetons per cell
- Space group: Cmcm (63)



Version Q
Compound: PrEr2In2
Source: Alexandria
Functional: GGA-PBE
Structure: optimized geometry

abc: 4.646 4.646 14.701
angles: 99.09 99.09 90.00
Sites, in units of the cell vectors:
Pr1 0.633 0.633 0.266
Pr2 0.367 0.367 0.734
Er1 0.750 0.250 0.500
Er2 0.927 0.927 0.854
Er3 0.073 0.073 0.146
Er4 0.250 0.750 0.500
In1 0.000 0.500 0.000
In2 0.176 0.176 0.351
In3 0.500 0.000 0.000
In4 0.824 0.824 0.649

Properties
- Spin magnetization: 0.0 Bohr magnetons per cell
- Space group: I4/mmm (139)



Most favorable structure: version P. The second most favorable one is 192 meV per atom above it.



Version P
Compound: PrEr2In4
Source: Alexandria
Functional: GGA-PBE
Structure: optimized geometry

abc: 4.685 4.685 9.931
angles: 103.64 103.64 90.00
Sites, in units of the cell vectors:
Pr1 0.000 0.000 0.000
In1 0.374 0.874 0.747
In2 0.874 0.374 0.747
In3 0.626 0.126 0.253
In4 0.126 0.626 0.253
Er1 0.752 0.752 0.503
Er2 0.248 0.248 0.497

Properties
- Spin magnetization: 0.3 Bohr magnetons per cell
- Space group: I4/mmm (139)



Version Q
Compound: PrEr2In4
Source: Alexandria
Functional: GGA-PBE
Structure: optimized geometry

abc: 5.964 5.964 7.160
angles: 114.61 114.61 90.00
Sites, in units of the cell vectors:
Pr1 0.000 0.000 0.000
Er1 0.645 0.645 0.291
Er2 0.355 0.355 0.709
In1 0.750 0.250 0.500
In2 0.250 0.750 0.500
In3 0.500 0.000 0.000
In4 0.000 0.500 0.000

Properties
- Spin magnetization: 0.0 Bohr magnetons per cell
- Space group: I4/mmm (139)



Most favorable structure: version P. The second most favorable one is 120 meV per atom above it.



Version P
Compound: PrErIn3
Source: Alexandria
Functional: GGA-PBE
Structure: optimized geometry

abc: 3.734 4.926 14.928
angles: 90.00 97.18 90.00
Sites, in units of the cell vectors:
Pr1 0.925 0.750 0.850
Pr2 0.075 0.250 0.150
Er1 0.213 0.750 0.427
Er2 0.787 0.250 0.573
In1 0.623 0.750 0.246
In2 0.377 0.250 0.754
In3 0.525 0.750 0.050
In4 0.475 0.250 0.950
In5 0.681 0.250 0.361
In6 0.319 0.750 0.639

Properties
- Spin magnetization: 0.5 Bohr magnetons per cell
- Space group: Cmcm (63)



Version Q
Compound: PrErIn3
Source: Alexandria
Functional: GGA-PBE
Structure: optimized geometry

abc: 6.181 5.591 8.923
angles: 90.00 110.27 90.00
Sites, in units of the cell vectors:
Pr1 0.196 0.250 0.393
Pr2 0.804 0.750 0.607
Er1 0.567 0.250 0.133
Er2 0.433 0.750 0.867
In1 0.133 0.250 0.739
In2 0.605 0.250 0.739
In3 0.395 0.750 0.261
In4 0.867 0.750 0.261
In5 0.000 0.000 0.000
In6 0.000 0.500 0.000

Properties
- Spin magnetization: 0.0 Bohr magnetons per cell
- Space group: Cmcm (63)



Most favorable structure: version P. The second most favorable one is 152 meV per atom above it.



Version P
Compound: PrEr3In3
Source: Alexandria
Functional: GGA-PBE
Structure: optimized geometry

abc: 9.328 9.328 9.328
angles: 90.00 90.00 90.00
Sites, in units of the cell vectors:
Pr1 0.049 0.549 0.951
Pr2 0.951 0.049 0.549
Pr3 0.451 0.451 0.451
Pr4 0.549 0.951 0.049
Er1 0.831 0.331 0.169
Er2 0.882 0.882 0.882
Er3 0.800 0.700 0.300
Er4 0.169 0.831 0.331
Er5 0.200 0.200 0.200
Er6 0.300 0.800 0.700
Er7 0.118 0.382 0.618
Er8 0.331 0.169 0.831
Er9 0.700 0.300 0.800
Er10 0.669 0.669 0.669
Er11 0.618 0.118 0.382
Er12 0.382 0.618 0.118
In1 0.698 0.599 0.995
In2 0.901 0.005 0.198
In3 0.995 0.698 0.599
In4 0.099 0.505 0.302
In5 0.302 0.099 0.505
In6 0.198 0.901 0.005
In7 0.005 0.198 0.901
In8 0.401 0.495 0.802
In9 0.505 0.302 0.099
In10 0.599 0.995 0.698
In11 0.802 0.401 0.495
In12 0.495 0.802 0.401

Properties
- Spin magnetization: 0.0 Bohr magnetons per cell
- Space group: P2_13 (198)



Version Q
Compound: PrEr3In3
Source: Alexandria
Functional: GGA-PBE
Structure: optimized geometry

abc: 5.170 9.403 9.403
angles: 120.00 90.00 90.00
Sites, in units of the cell vectors:
Pr1 0.250 0.667 0.333
Pr2 0.750 0.333 0.667
Er1 0.250 0.770 0.770
Er2 0.250 0.230 0.000
Er3 0.250 0.000 0.230
Er4 0.750 0.230 0.230
Er5 0.750 0.770 0.000
Er6 0.750 0.000 0.770
In1 0.750 0.619 0.549
In2 0.750 0.451 0.070
In3 0.750 0.930 0.381
In4 0.250 0.381 0.451
In5 0.250 0.549 0.930
In6 0.250 0.070 0.619

Properties
- Spin magnetization: 0.0 Bohr magnetons per cell
- Space group: P6_3/m (176)



Most favorable structure: version Q. The second most favorable one is 42 meV per atom above it.



Version P
Compound: Pr3Er2In2
Source: Alexandria
Functional: GGA-PBE
Structure: optimized geometry

abc: 3.531 8.056 8.773
angles: 117.72 101.61 90.00
Sites, in units of the cell vectors:
Pr1 0.000 0.500 0.000
Pr2 0.211 0.783 0.421
Pr3 0.789 0.217 0.579
Er1 0.874 0.717 0.748
Er2 0.126 0.283 0.252
In1 0.567 0.902 0.134
In2 0.433 0.098 0.866

Properties
- Spin magnetization: 0.0 Bohr magnetons per cell
- Space group: C2/m (12)



Version Q
Compound: Pr3Er2In2
Source: Alexandria
Functional: GGA-PBE
Structure: optimized geometry

abc: 5.017 3.548 12.300
angles: 90.00 78.23 90.00
Sites, in units of the cell vectors:
Pr1 0.857 0.000 0.287
Pr2 0.000 0.000 0.000
Pr3 0.143 0.000 0.713
Er1 0.713 0.500 0.575
Er2 0.287 0.500 0.425
In1 0.572 0.500 0.856
In2 0.428 0.500 0.144

Properties
- Spin magnetization: 0.0 Bohr magnetons per cell
- Space group: Cmmm (65)



Most favorable structure: version Q. The second most favorable one is 43 meV per atom above it.



Version P
Compound: Pr2Er5In
Source: Alexandria
Functional: GGA-PBE
Structure: optimized geometry

abc: 5.250 11.135 11.330
angles: 90.00 90.00 103.63
Sites, in units of the cell vectors:
Pr1 0.870 0.740 0.402
Pr2 0.870 0.740 0.098
Pr3 0.130 0.260 0.598
Pr4 0.130 0.260 0.902
Er1 0.971 0.942 0.878
Er2 0.971 0.942 0.622
Er3 0.271 0.542 0.416
Er4 0.271 0.542 0.084
Er5 0.722 0.445 0.250
Er6 0.278 0.555 0.750
Er7 0.729 0.458 0.584
Er8 0.729 0.458 0.916
Er9 0.029 0.058 0.122
Er10 0.029 0.058 0.378
In1 0.849 0.698 0.750
In2 0.151 0.302 0.250

Properties
- Spin magnetization: 0.0 Bohr magnetons per cell
- Space group: Cmcm (63)



Version Q
Compound: Pr2Er5In
Source: Alexandria
Functional: GGA-PBE
Structure: optimized geometry

abc: 4.904 4.904 10.757
angles: 103.18 103.18 90.00
Sites, in units of the cell vectors:
Pr1 0.743 0.743 0.485
Pr2 0.257 0.257 0.515
Er1 0.500 0.500 0.000
Er2 0.382 0.882 0.764
Er3 0.882 0.382 0.764
Er4 0.618 0.118 0.236
Er5 0.118 0.618 0.236
In1 0.000 0.000 0.000

Properties
- Spin magnetization: 0.0 Bohr magnetons per cell
- Space group: I4/mmm (139)



Most favorable structure: version Q. The second most favorable one is 705 meV per atom above it.



Version P
Compound: Pr12Er7In
Source: Alexandria
Functional: GGA-PBE
Structure: optimized geometry

abc: 9.367 9.367 9.367
angles: 107.38 107.38 107.38
Sites, in units of the cell vectors:
Pr1 0.782 0.321 0.619
Pr2 0.679 0.381 0.218
Pr3 0.396 0.063 0.291
Pr4 0.937 0.709 0.604
Pr5 0.381 0.218 0.679
Pr6 0.709 0.604 0.937
Pr7 0.291 0.396 0.063
Pr8 0.619 0.782 0.321
Pr9 0.063 0.291 0.396
Pr10 0.604 0.937 0.709
Pr11 0.321 0.619 0.782
Pr12 0.218 0.679 0.381
Er1 0.102 0.688 0.995
Er2 0.312 0.005 0.898
Er3 0.005 0.898 0.312
Er4 0.500 0.500 0.500
Er5 0.995 0.102 0.688
Er6 0.688 0.995 0.102
Er7 0.898 0.312 0.005
In1 0.000 0.000 0.000

Properties
- Spin magnetization: 0.0 Bohr magnetons per cell
- Space group: R-3 (148)



Version Q
Compound: Pr12Er7In
Source: Alexandria
Functional: GGA-PBE
Structure: optimized geometry

abc: 10.114 10.114 10.114
angles: 109.47 109.47 109.47
Sites, in units of the cell vectors:
Pr1 0.557 0.779 0.778
Pr2 0.000 0.779 0.222
Pr3 0.443 0.221 0.222
Pr4 0.000 0.221 0.778
Pr5 0.778 0.000 0.221
Pr6 0.778 0.557 0.779
Pr7 0.222 0.000 0.779
Pr8 0.222 0.443 0.221
Pr9 0.779 0.778 0.557
Pr10 0.221 0.222 0.443
Pr11 0.779 0.222 0.000
Pr12 0.221 0.778 0.000
Er1 0.500 0.500 0.000
Er2 0.000 0.500 0.500
Er3 0.500 0.000 0.500
Er4 0.500 0.500 0.500
Er5 0.000 0.000 0.500
Er6 0.500 0.000 0.000
Er7 0.000 0.500 0.000
In1 0.000 0.000 0.000

Properties
- Spin magnetization: 0.0 Bohr magnetons per cell
- Space group: Im-3m (229)



Most favorable structure: version P. The second most favorable one is 576 meV per atom above it.



Version P
Compound: Pr5ErIn4
Source: Alexandria
Functional: GGA-PBE
Structure: optimized geometry

abc: 8.807 8.483 9.203
angles: 90.00 90.00 90.00
Sites, in units of the cell vectors:
Pr1 0.265 0.754 0.806
Pr2 0.265 0.246 0.806
Pr3 0.655 0.500 0.000
Pr4 0.265 0.754 0.194
Pr5 0.265 0.246 0.194
Pr6 0.735 0.746 0.306
Pr7 0.735 0.254 0.306
Pr8 0.345 0.000 0.500
Pr9 0.735 0.254 0.694
Pr10 0.735 0.746 0.694
Er1 0.914 0.000 0.000
Er2 0.086 0.500 0.500
In1 0.010 0.000 0.662
In2 0.564 0.840 0.000
In3 0.564 0.160 0.000
In4 0.010 0.000 0.338
In5 0.990 0.500 0.162
In6 0.436 0.660 0.500
In7 0.436 0.340 0.500
In8 0.990 0.500 0.838

Properties
- Spin magnetization: 0.0 Bohr magnetons per cell
- Space group: Pmmn (59)



Version Q
Compound: Pr5ErIn4
Source: Alexandria
Functional: GGA-PBE
Structure: optimized geometry

abc: 3.674 3.674 22.646
angles: 90.00 90.00 90.00
Sites, in units of the cell vectors:
Pr1 0.500 0.500 0.113
Pr2 0.500 0.500 0.306
Pr3 0.500 0.500 0.500
Pr4 0.500 0.500 0.694
Pr5 0.500 0.500 0.887
Er1 0.000 0.000 0.000
In1 0.000 0.000 0.209
In2 0.000 0.000 0.403
In3 0.000 0.000 0.597
In4 0.000 0.000 0.791

Properties
- Spin magnetization: 0.0 Bohr magnetons per cell
- Space group: P4/mmm (123)



Most favorable structure: version Q. The second most favorable one is 259 meV per atom above it.



Version P
Compound: Pr6ErIn2
Source: Alexandria
Functional: GGA-PBE
Structure: optimized geometry

abc: 3.856 6.887 12.129
angles: 74.14 80.85 73.74
Sites, in units of the cell vectors:
Pr1 0.677 0.523 0.122
Pr2 0.323 0.477 0.878
Pr3 0.307 0.792 0.595
Pr4 0.978 0.706 0.339
Pr5 0.022 0.294 0.661
Pr6 0.693 0.208 0.405
Er1 0.000 0.000 0.000
In1 0.359 0.092 0.189
In2 0.641 0.908 0.811

Properties
- Spin magnetization: 0.0 Bohr magnetons per cell
- Space group: C2/m (12)



Version Q
Compound: Pr6ErIn2
Source: Alexandria
Functional: GGA-PBE
Structure: optimized geometry

abc: 5.212 11.292 11.292
angles: 66.16 90.03 90.03
Sites, in units of the cell vectors:
Pr1 0.249 0.718 0.476
Pr2 0.251 0.524 0.282
Pr3 0.751 0.282 0.524
Pr4 0.749 0.476 0.718
Pr5 0.750 0.033 0.364
Pr6 0.750 0.636 0.967
Pr7 0.250 0.967 0.636
Pr8 0.250 0.364 0.033
Pr9 0.250 0.823 0.995
Pr10 0.250 0.005 0.177
Pr11 0.750 0.177 0.005
Pr12 0.750 0.995 0.823
Er1 0.250 0.215 0.785
Er2 0.750 0.785 0.215
In1 0.250 0.640 0.790
In2 0.250 0.210 0.360
In3 0.750 0.360 0.210
In4 0.750 0.790 0.640

Properties
- Spin magnetization: 0.0 Bohr magnetons per cell
- Space group: Cmcm (63)



Most favorable structure: version P. The second most favorable one is 114 meV per atom above it.